[1]
! Ir2W3 | Alexandria via LeMat-Bulk | PBE-GGA | optimized geometry; values from VASP
! - VASP energy (eV/atom) = -10.807
! - excess energy over the best structure of this formula in the dataset (meV per atom) = 530
! - space-group type = P-3m1
! - energy of formation (eV/atom) = 0.509
! - magnetic moment (Bohr magnetons per cell) = 0.0
! - density (g/cm³) = 17.90
&SYSTEM
  ibrav = 0, nat = 5, ntyp = 2
/
ATOMIC_SPECIES
Ir 192.22 Ir.upf
W 183.84 W.upf
ATOMIC_POSITIONS crystal
Ir 0.667 0.333 0.136
Ir 0.333 0.667 0.864
W 0.000 0.000 0.000
W 0.667 0.333 0.620
W 0.333 0.667 0.380
CELL_PARAMETERS angstrom
2.141 -3.708 0.000
2.141 3.708 0.000
0.000 0.000 5.468

***

[2]
! Pa2TiSb | Alexandria via LeMat-Bulk | PBE-GGA | optimized geometry; values from VASP
! - formation energy (no corrections) (kJ/mol of atoms) = -16.4
! - VASP energy (eV/atom) = -7.923
! - excess energy over the best structure of this formula in the dataset (meV per atom) = 90
! - space-group type = P2_1/m
! - magnetic moment (Bohr magnetons per cell) = 0.0
! - density (g/cm³) = 11.40
&SYSTEM
  ibrav = 0, nat = 8, ntyp = 3
/
ATOMIC_SPECIES
Pa 231.04 Pa.upf
Ti 47.87 Ti.upf
Sb 121.76 Sb.upf
ATOMIC_POSITIONS crystal
Pa 0.560 0.250 0.119
Pa 0.440 0.750 0.881
Pa 0.068 0.750 0.137
Pa 0.932 0.250 0.863
Ti 0.686 0.750 0.370
Ti 0.314 0.250 0.630
Sb 0.183 0.250 0.364
Sb 0.817 0.750 0.636
CELL_PARAMETERS angstrom
-1.039 -3.803 1.245
4.003 -1.253 -0.486
2.578 4.605 9.358

***

[3]
! SrLuGa | Alexandria via LeMat-Bulk | PBE-GGA | optimized geometry; values from VASP
! - VASP energy (eV/atom) = -3.315
! - space-group type = I4mm
! - energy of formation (eV/atom) = -0.238
! - magnetic moment (Bohr magnetons per cell) = 0.0
! - density (g/cm³) = 6.08
&SYSTEM
  ibrav = 0, nat = 3, ntyp = 3
/
ATOMIC_SPECIES
Sr 87.62 Sr.upf
Lu 174.97 Lu.upf
Ga 69.72 Ga.upf
ATOMIC_POSITIONS crystal
Sr 0.021 0.021 0.041
Lu 0.293 0.293 0.586
Ga 0.686 0.686 0.373
CELL_PARAMETERS angstrom
3.699 0.000 0.000
0.000 3.699 0.000
-1.850 -1.850 6.630

***

[4]
! V5Mo2Rh | Alexandria via LeMat-Bulk | PBE-GGA | optimized geometry; values from VASP
! - VASP energy (eV/atom) = -9.552
! - space-group type = I4/mmm
! - energy of formation (eV/atom) = -0.226
! - magnetic moment (Bohr magnetons per cell) = 0.0
! - density (g/cm³) = 8.14
&SYSTEM
  ibrav = 0, nat = 8, ntyp = 3
/
ATOMIC_SPECIES
V 50.94 V.upf
Mo 95.94 Mo.upf
Rh 102.91 Rh.upf
ATOMIC_POSITIONS crystal
V 0.278 0.278 0.500
V 0.278 0.778 0.000
V 0.778 0.278 0.000
V 0.778 0.778 0.500
V 0.278 0.278 0.000
Mo 0.278 0.778 0.500
Mo 0.778 0.278 0.500
Rh 0.778 0.778 0.000
CELL_PARAMETERS angstrom
4.968 0.056 -1.729
-2.488 4.299 -1.730
-0.035 -0.059 5.260